VASP calculation (GGA-PBE) on Pm7Sm2Dy after structural relaxation.

The structure in extended XYZ format:
```
10
Lattice="6.0141 -8.4138 0.0000 6.0141 8.4138 0.0000 0.0000 0.0000 3.5398" Properties=species:S:1:pos:R:3 pbc="T T T"
Pm 0.0000 0.0000 0.0000
Pm 2.9441 2.1417 0.0000
Pm 6.0141 5.4466 1.7699
Pm 2.9441 -2.1417 0.0000
Pm 9.0841 2.1417 0.0000
Pm 6.0141 -5.4466 1.7699
Pm 9.0841 -2.1417 0.0000
Sm 6.0141 2.8521 0.0000
Sm 6.0141 -2.8521 0.0000
Dy 6.0141 0.0000 1.7699
```

Computed properties:
- Crystal system: orthorhombic
- SG: Cmmm, No. 65


VASP calculation (GGA-PBE) on PmSm4Dy5 after structural relaxation.

The structure in extended XYZ format:
```
10
Lattice="8.6291 -1.7744 0.0000 8.6291 1.7744 0.0000 -0.0243 0.0000 11.1332" Properties=species:S:1:pos:R:3 pbc="T T T"
Pm 0.0000 0.0000 0.0000
Sm 2.6536 0.0000 2.7817
Sm 8.1147 0.0000 2.8011
Sm 9.1191 0.0000 8.3320
Sm 14.5803 0.0000 8.3515
Dy -0.0122 0.0000 5.5666
Dy 5.6177 0.0000 0.5977
Dy 5.6257 0.0000 5.0055
Dy 11.6081 0.0000 6.1277
Dy 11.6161 0.0000 10.5355
```

Computed properties:
- Crystal system: monoclinic
- SG: C2/m, No. 12


So what do the calculations give for E above lowest polymorph? Going down the list: 0.000; 0.000 eV/atom.
So what do the calculations give for DFT formation energy? Going down the list: 37.0; 18.1 kJ/mol of atoms.